CaCd2Hg2 | meta-GGA SCAN | PBEsol geometry

Values from the calculation:
* energy of formation from the pure elements: -0.355 eV/atom
* crystal system: tetragonal
* uncorrected energy: -41.720 eV/atom

Lattice parameters (Å, degrees): 4.2690 4.2690 7.2924 107.02 107.02 90.00
Positions (direct):
Cd 0.7500 0.2500 0.5000
Cd 0.2500 0.7500 0.5000
Ca 0.0000 0.0000 0.0000
Hg 0.3960 0.3960 0.7920
Hg 0.6040 0.6040 0.2080